The following is a DFT calculation (GGA-PBE) of a relaxed KY2Cd crystal.

Properties
Calculated formation energy: 0.049 eV/atom

Lattice parameters (Å, degrees): 3.6714 3.6708 11.1037 70.78 90.00 90.00
Closest atoms and distances in Å follow each position.
Fractional coordinates of all 4 atoms:
Cd 0.0000 0.5460 0.4549  4 Y 3.19
K 0.5000 0.7843 0.7156  4 K 3.67, 4 Cd 3.77
Y 0.0000 0.9469 0.0523  8 Y 3.51-3.67
Y 0.5000 0.2228 0.2773  4 Cd 3.19, 4 Y 3.51